No. 1
The following is a DFT calculation (PBE) of Mg8PtAu2 after structural relaxation.

The structure in POSCAR format:
```
Mg8PtAu2
1.0
-2.087 -3.597 1.928
5.773 -1.825 2.843
-3.103 6.538 3.389
Au Mg Pt
2 8 1
Cartesian
2.402 0.474 3.484
-1.819 0.641 4.677
4.352 -1.224 2.428
2.979 -1.947 5.040
0.609 -0.175 5.783
-3.769 2.338 5.732
-0.032 2.741 5.080
-2.395 3.062 3.120
-0.026 1.290 2.378
0.616 -1.627 3.081
-1.044 -1.799 0.964
```

* VASP energy: -30.6 eV per formula unit
* M_tot: 0.00 μB per formula unit
* energy of formation from the pure elements: -0.4812 eV per atom
* SG: C2/m


No. 2
The following is a DFT calculation (PBE) of MgPtAu2 after structural relaxation.

The structure in POSCAR format:
```
MgPtAu2
1.0
4.879 0.000 0.000
0.000 2.936 -0.251
0.000 0.610 4.822
Au Mg Pt
2 1 1
Cartesian
0.000 2.921 -0.249
0.000 1.788 2.282
2.440 0.887 1.143
2.440 2.660 3.428
```

* VASP energy: -15.4 eV per formula unit
* M_tot: 0.00 μB per formula unit
* energy of formation from the pure elements: -0.3120 eV per atom
* SG: P2/m


No. 3
The following is a DFT calculation (PBE) of MgPt2Au2 after structural relaxation.

The structure in POSCAR format:
```
MgPt2Au2
1.0
6.845 0.000 0.000
0.000 6.845 0.000
0.000 0.000 3.877
Au Pt Mg
4 4 2
Cartesian
5.719 2.297 1.938
4.548 5.719 1.938
2.297 1.125 1.938
1.125 4.548 1.938
5.902 4.365 0.000
2.479 5.902 0.000
4.365 0.943 0.000
0.943 2.479 0.000
0.000 0.000 0.000
3.422 3.422 0.000
```

* VASP energy: -21.3 eV per formula unit
* M_tot: 0.00 μB per formula unit
* energy of formation from the pure elements: -0.2176 eV per atom
* SG: P4/mbm


No. 4
The following is a DFT calculation (PBE) of Mg5Pt4Au after structural relaxation.

The structure in POSCAR format:
```
Mg5Pt4Au
1.0
-1.122 -2.774 -0.241
1.075 -0.192 -2.796
15.459 -6.812 6.411
Mg Pt Au
5 4 1
Cartesian
4.675 -3.553 0.430
1.661 -2.225 -0.820
7.706 -4.889 1.687
13.751 -7.552 4.193
10.737 -6.224 2.944
9.249 -4.075 3.835
6.210 -2.736 2.575
12.294 -5.417 5.098
3.165 -1.395 1.313
0.000 0.000 0.000
```

* VASP energy: -43.6 eV per formula unit
* M_tot: 0.00 μB per formula unit
* energy of formation from the pure elements: -0.8157 eV per atom
* SG: P4/mmm


No. 5
The following is a DFT calculation (PBE) of Mg6Pt5Au after structural relaxation.

The structure in POSCAR format:
```
Mg6Pt5Au
1.0
-2.500 1.592 3.368
0.554 -5.663 3.089
3.925 3.237 5.231
Pt Mg Au
5 6 1
Cartesian
0.277 -2.832 1.545
1.248 0.391 7.278
0.732 -1.225 4.409
1.021 -4.055 5.955
0.959 3.221 5.733
-0.610 0.985 5.362
2.590 -1.819 6.325
-0.838 -3.417 3.982
2.817 2.583 7.706
-0.337 -1.802 6.882
2.317 0.968 4.805
0.000 0.000 0.000
```

* VASP energy: -52.8 eV per formula unit
* M_tot: 0.00 μB per formula unit
* energy of formation from the pure elements: -0.8139 eV per atom
* SG: P2/m


No. 6
The following is a DFT calculation (PBE) of Mg5PtAu2 after structural relaxation.

The structure in POSCAR format:
```
Mg5PtAu2
1.0
4.515 0.000 0.000
0.000 5.827 0.000
0.000 0.000 11.213
Mg Pt Au
10 2 4
Cartesian
0.000 2.914 0.000
0.000 3.647 8.189
0.000 5.094 2.582
0.000 0.734 8.631
2.258 1.990 6.773
2.258 4.904 10.047
2.258 3.837 4.441
0.000 0.000 5.607
2.258 0.923 1.166
0.000 2.180 3.025
0.000 2.914 5.607
0.000 0.000 0.000
2.258 0.734 4.004
2.258 3.648 1.603
2.258 5.093 7.210
2.258 2.179 9.610
```

* VASP energy: -25.3 eV per formula unit
* M_tot: 0.00 μB per formula unit
* energy of formation from the pure elements: -0.5910 eV per atom
* SG: Pbam


No. 7
The following is a DFT calculation (PBE) of MgPtAu2 after structural relaxation.

The structure in POSCAR format:
```
MgPtAu2
1.0
-1.497 2.312 -2.762
-3.550 -0.436 1.559
-0.984 8.729 5.085
Mg Au Pt
2 4 2
Cartesian
-3.528 4.615 3.021
-2.523 0.938 -0.602
-2.647 2.191 1.909
-5.165 8.187 2.765
-1.630 3.580 -0.269
-2.620 7.251 3.358
0.000 0.000 0.000
-2.502 5.990 0.861
```

* VASP energy: -15.1 eV per formula unit
* M_tot: 0.00 μB per formula unit
* energy of formation from the pure elements: -0.2283 eV per atom
* SG: I-42d


No. 8
The following is a DFT calculation (PBE) of MgPtAu2 after structural relaxation.

The structure in POSCAR format:
```
MgPtAu2
1.0
-4.505 -2.145 -0.193
-3.639 -2.053 2.734
-2.995 3.746 0.769
Pt Au Mg
1 2 1
Cartesian
-2.765 -0.053 0.820
-8.390 -0.357 2.493
-8.128 -4.184 2.535
-5.572 -0.283 1.657
```

* VASP energy: -15.7 eV per formula unit
* M_tot: 0.00 μB per formula unit
* energy of formation from the pure elements: -0.3756 eV per atom
* SG: Cm


No. 9
The following is a DFT calculation (PBE) of Mg6PtAu5 after structural relaxation.

The structure in POSCAR format:
```
Mg6PtAu5
1.0
4.487 -0.004 -1.258
-3.369 6.485 -3.407
-0.178 -0.986 8.001
Au Mg Pt
5 6 1
Cartesian
0.470 2.748 1.668
-2.305 3.994 0.397
-1.242 1.505 4.197
1.527 0.273 5.446
-0.587 5.222 -2.109
-0.289 2.570 -1.039
0.752 0.134 2.681
2.470 1.324 0.176
1.229 2.925 4.375
-1.530 4.171 3.160
0.188 5.362 0.656
0.000 0.000 0.000
```

* VASP energy: -39.8 eV per formula unit
* M_tot: 0.00 μB per formula unit
* energy of formation from the pure elements: -0.6539 eV per atom
* SG: Immm


No. 10
The following is a DFT calculation (PBE) of MgPtAu2 after structural relaxation.

The structure in POSCAR format:
```
MgPtAu2
1.0
-0.184 0.412 -5.026
-1.408 -2.228 -4.303
-4.426 1.884 -0.613
Au Mg Pt
2 1 1
Cartesian
-3.010 0.033 -4.978
-6.016 0.070 -9.934
-4.513 0.051 -7.456
-1.504 0.017 -2.485
```

* VASP energy: -15.7 eV per formula unit
* M_tot: 0.00 μB per formula unit
* energy of formation from the pure elements: -0.3704 eV per atom
* SG: C2/m


No. 11
The following is a DFT calculation (PBE) of Mg3Pt2Au after structural relaxation.

The structure in POSCAR format:
```
Mg3Pt2Au
1.0
3.034 0.000 0.000
0.000 3.034 0.000
0.000 0.000 10.782
Mg Pt Au
3 2 1
Cartesian
0.000 0.000 0.000
0.000 0.000 3.476
0.000 0.000 7.306
1.517 1.517 9.022
1.517 1.517 1.760
1.517 1.517 5.391
```

* VASP energy: -24.8 eV per formula unit
* M_tot: 0.00 μB per formula unit
* energy of formation from the pure elements: -0.7805 eV per atom
* SG: P4/mmm


No. 12
The following is a DFT calculation (PBE) of Mg2Pt9Au after structural relaxation.

The structure in POSCAR format:
```
Mg2Pt9Au
1.0
3.963 0.000 0.000
0.000 3.963 0.000
0.000 0.000 12.039
Au Pt Mg
1 9 2
Cartesian
0.000 0.000 0.000
0.000 1.981 9.963
0.000 1.981 2.076
1.981 0.000 9.963
1.981 1.981 4.055
1.981 1.981 0.000
1.981 1.981 7.984
0.000 1.981 6.019
1.981 0.000 2.076
1.981 0.000 6.019
0.000 0.000 8.005
0.000 0.000 4.033
```

* VASP energy: -65.4 eV per formula unit
* M_tot: 0.00 μB per formula unit
* energy of formation from the pure elements: -0.3833 eV per atom
* SG: P4/mmm


No. 13
The following is a DFT calculation (PBE) of Mg2Pt3Au3 after structural relaxation.

The structure in POSCAR format:
```
Mg2Pt3Au3
1.0
-0.565 1.578 3.690
-3.286 -2.250 0.459
4.527 -5.951 3.238
Pt Au Mg
3 3 2
Cartesian
1.479 -4.811 4.510
-0.803 -1.812 2.878
-1.643 -1.125 0.230
-0.282 0.789 1.845
0.621 -4.100 1.849
1.981 -2.187 3.464
3.436 -4.517 2.458
1.091 -1.434 0.780
```

* VASP energy: -35.4 eV per formula unit
* M_tot: 0.00 μB per formula unit
* energy of formation from the pure elements: -0.5275 eV per atom
* SG: Pmmm


No. 14
The following is a DFT calculation (PBE) of Mg5Pt2Au after structural relaxation.

The structure in POSCAR format:
```
Mg5Pt2Au
1.0
4.376 0.000 0.000
0.000 5.734 0.000
0.000 0.000 11.225
Mg Pt Au
10 4 2
Cartesian
2.188 1.808 6.842
0.000 2.867 0.000
0.000 3.436 8.276
0.000 0.569 8.561
2.188 4.674 9.995
0.000 2.298 2.948
2.188 3.926 4.382
2.188 1.059 1.230
0.000 5.165 2.664
0.000 0.000 5.612
2.188 0.909 4.010
2.188 4.825 7.215
2.188 3.776 1.603
2.188 1.958 9.622
0.000 0.000 0.000
0.000 2.867 5.612
```

* VASP energy: -28.4 eV per formula unit
* M_tot: 0.00 μB per formula unit
* energy of formation from the pure elements: -0.6348 eV per atom
* SG: Pbam


No. 15
The following is a DFT calculation (PBE) of Mg4PtAu2 after structural relaxation.

The structure in POSCAR format:
```
Mg4PtAu2
1.0
-1.563 0.232 4.274
2.176 -2.200 3.344
4.400 5.331 3.748
Pt Mg Au
1 4 2
Cartesian
0.000 0.000 0.000
2.201 0.298 8.075
4.072 3.916 6.134
0.941 -0.552 5.232
2.812 3.066 3.291
3.761 2.524 8.524
1.252 0.839 2.841
```

* VASP energy: -23.5 eV per formula unit
* M_tot: 0.00 μB per formula unit
* energy of formation from the pure elements: -0.6442 eV per atom
* SG: R-3m


No. 16
The following is a DFT calculation (PBE) of MgPtAu2 after structural relaxation.

The structure in POSCAR format:
```
MgPtAu2
1.0
-1.335 3.140 3.665
-4.994 0.153 0.339
3.229 -3.822 -0.119
Mg Pt Au
1 1 2
Cartesian
-3.165 1.646 2.002
-2.465 -1.012 1.111
-0.635 0.482 2.775
-1.335 3.140 3.665
```

* VASP energy: -16.1 eV per formula unit
* M_tot: 0.00 μB per formula unit
* energy of formation from the pure elements: -0.4657 eV per atom
* SG: F222


No. 17
The following is a DFT calculation (PBE) of Mg5PtAu4 after structural relaxation.

The structure in POSCAR format:
```
Mg5PtAu4
1.0
-0.982 2.501 1.884
-2.530 0.530 -2.022
-9.207 -10.266 8.829
Mg Au Pt
5 4 1
Cartesian
-2.610 0.563 0.750
-6.359 -3.618 4.346
-10.109 -7.799 7.941
-8.227 -5.701 6.137
-4.492 -1.535 2.554
-1.796 -2.003 1.723
-7.411 -8.263 7.107
-3.666 -4.088 3.516
-5.541 -6.179 5.314
0.000 0.000 0.000
```

* VASP energy: -33.7 eV per formula unit
* M_tot: 0.00 μB per formula unit
* energy of formation from the pure elements: -0.6539 eV per atom
* SG: P4/mmm


No. 18
The following is a DFT calculation (PBE) of Mg2PtAu after structural relaxation.

The structure in POSCAR format:
```
Mg2PtAu
1.0
-1.759 2.641 1.640
-2.306 -2.372 1.346
3.283 -0.624 4.527
Mg Pt Au
2 1 1
Cartesian
3.191 -0.606 4.400
-1.089 -0.045 2.795
1.521 -0.289 2.098
0.518 -0.350 5.010
```

* VASP energy: -14.6 eV per formula unit
* M_tot: 0.00 μB per formula unit
* energy of formation from the pure elements: -0.5231 eV per atom
* SG: P4mm


No. 19
The following is a DFT calculation (PBE) of Mg2PtAu after structural relaxation.

The structure in POSCAR format:
```
Mg2PtAu
1.0
5.220 0.006 -0.011
2.272 4.699 0.011
-3.739 -2.363 2.771
Pt Mg Au
1 2 1
Cartesian
3.746 2.353 0.000
2.612 -0.003 1.380
7.492 4.705 0.000
1.140 2.345 1.391
```

* VASP energy: -15.1 eV per formula unit
* M_tot: 0.00 μB per formula unit
* energy of formation from the pure elements: -0.6562 eV per atom
* SG: I-4m2


No. 20
The following is a DFT calculation (PBE) of MgPt3Au after structural relaxation.

The structure in POSCAR format:
```
MgPt3Au
1.0
4.595 0.000 0.000
0.000 4.595 0.000
0.000 0.000 4.595
Pt Au Mg
3 1 1
Cartesian
0.000 0.000 2.298
2.298 0.000 0.000
0.000 2.298 0.000
2.298 2.298 2.298
0.000 0.000 0.000
```

* VASP energy: -18.9 eV per formula unit
* M_tot: 0.00 μB per formula unit
* energy of formation from the pure elements: 0.8284 eV per atom
* SG: Pm-3m